Compound: Ac2AlRh
Source: Alexandria
Functional: PBE
Structure: relaxed

## Properties
electronic total energy: -20.77 eV for the cell shown
calculated formation energy: -0.36 eV per atom
crystal system: tetragonal

a = 3.8714 Å, b = 3.8714 Å, c = 7.5196 Å
α = 90.00°, β = 90.00°, γ = 90.00°
Last column: nearest neighbours and their distance in Å.
Space group P4/mmm (No. 123)
Unique sites:
Ac 0.0000 0.0000 0.2314  4 Rh 3.24, 4 Al 3.40, 1 Ac 3.48
Al 0.5000 0.5000 0.5000  8 Ac 3.40, 2 Rh 3.76
Rh 0.5000 0.5000 0.0000  8 Ac 3.24

=====

Compound: MgCrPb
Source: Alexandria
Functional: PBE
Structure: relaxed

## Properties
electronic total energy: -13.67 eV for the cell shown
calculated formation energy: 0.42 eV per atom
crystal system: trigonal
distance to the lowest polymorph of the same formula: 0.08 eV/f.u.

a = 4.7989 Å, b = 4.7989 Å, c = 3.3714 Å
α = 90.00°, β = 90.00°, γ = 120.00°
Last column: nearest neighbours and their distance in Å.
Space group P3m1 (No. 156)
Unique sites:
Mg 0.0000 0.0000 0.0000  3 Pb 3.04, 3 Cr 3.09, 2 Mg 3.37
Cr 0.3333 0.6667 0.5928  3 Pb 2.87, 3 Mg 3.09
Pb 0.6667 0.3333 0.3728  3 Cr 2.87, 3 Mg 3.04

=====

Compound: NdDy12Co6
Source: Alexandria
Functional: PBE
Structure: relaxed

## Properties
electronic total energy: -210.40 eV for the cell shown
calculated formation energy: -0.14 eV per atom
crystal system: cubic

a = 9.7764 Å, b = 9.7764 Å, c = 9.7764 Å
α = 90.00°, β = 90.00°, γ = 90.00°
Last column: nearest neighbours and their distance in Å.
Space group Im-3 (No. 204)
Unique sites:
Nd 0.0000 0.0000 0.0000  12 Dy 3.57
Dy 0.0000 0.1940 0.3096  3 Co 2.65-2.88
Co 0.0000 0.3868 0.5000  1 Co 2.21

=====

Compound: PmH4
Source: Alexandria
Functional: PBE
Structure: relaxed

## Properties
electronic total energy: -38.57 eV for the cell shown
crystal system: monoclinic
distance to the lowest polymorph of the same formula: 0.00 eV/f.u.

a = 6.6192 Å, b = 3.8665 Å, c = 4.7282 Å
α = 90.00°, β = 120.38°, γ = 90.00°
Last column: nearest neighbours and their distance in Å.
Space group C2/m (No. 12)
Unique sites:
Pm 0.0000 0.0000 0.0000  10 H 2.28-2.42
H 0.0755 0.0000 0.5569  1 H 0.86
H 0.1176 0.5000 0.8666  3 Pm 2.28-2.29, 6 H 2.36-2.48

=====

Compound: Na8SrHg4
Source: Alexandria
Functional: PBE
Structure: relaxed

## Properties
electronic total energy: -15.17 eV for the cell shown
calculated formation energy: -0.13 eV per atom
crystal system: orthorhombic

a = 3.9335 Å, b = 5.1054 Å, c = 20.0755 Å
α = 90.00°, β = 90.00°, γ = 90.00°
Last column: nearest neighbours and their distance in Å.
Space group Pmm2 (No. 25)
Unique sites:
Na 0.0000 0.0000 0.0000  2 Hg 3.15, 4 Na 3.34
Na 0.0000 0.0000 0.2472  6 Hg 3.18-3.24, 4 Na 3.44-3.48
Na 0.0000 0.5000 0.1295  6 Hg 3.23-3.37, 2 Na 3.48
Na 0.0000 0.5000 0.3958  6 Na 3.23-3.53, 4 Hg 3.27-3.45
Na 0.5000 0.0000 0.3876  4 Hg 3.17-3.53, 6 Na 3.23-3.44
Na 0.5000 0.0000 0.6450  2 Na 3.29, 2 Hg 3.32, 1 Sr 3.42
Na 0.5000 0.5000 0.5420  4 Hg 3.28, 4 Na 3.29-3.53
Na 0.5000 0.5000 0.9572  4 Na 3.34
Sr 0.5000 0.0000 0.8155  3 Na 3.42-3.82, 4 Hg 3.53
Hg 0.0000 0.0000 0.5116  10 Na 3.17-3.45
Hg 0.0000 0.5000 0.7442  4 Sr 3.53, 4 Na 3.79, 2 Hg 3.93
Hg 0.5000 0.0000 0.1225  8 Na 3.15-3.23
Hg 0.5000 0.5000 0.2658  10 Na 3.24-3.53

=====

Compound: Ca2ReTc
Source: Alexandria
Functional: PBE
Structure: relaxed

## Properties
electronic total energy: -50.26 eV for the cell shown
calculated formation energy: 0.42 eV per atom
crystal system: orthorhombic
distance to the lowest polymorph of the same formula: 0.65 eV/f.u.

a = 3.6751 Å, b = 5.1809 Å, c = 9.8150 Å
α = 90.00°, β = 90.00°, γ = 90.00°
Last column: nearest neighbours and their distance in Å.
Space group Imm2 (No. 44)
Unique sites:
Ca 0.0000 0.0000 0.0000  4 Tc 3.23, 4 Ca 3.31-3.37, 4 Re 3.33-3.36
Ca 0.0000 0.5000 0.2199  4 Re 3.24, 4 Ca 3.31-3.37, 4 Tc 3.33-3.36
Re 0.0000 0.5000 0.7861  2 Tc 2.36
Tc 0.0000 0.0000 0.4374  2 Re 2.36

=====

Compound: AsIr2Pb
Source: Alexandria
Functional: PBE
Structure: relaxed

## Properties
electronic total energy: -46.94 eV for the cell shown
calculated formation energy: 0.65 eV per atom
crystal system: monoclinic
distance to the lowest polymorph of the same formula: 2.28 eV/f.u.

a = 5.9711 Å, b = 9.3092 Å, c = 3.0205 Å
α = 90.00°, β = 120.10°, γ = 90.00°
Last column: nearest neighbours and their distance in Å.
Space group C2/m (No. 12)
Unique sites:
As 0.0000 0.0000 0.0000  4 Ir 2.76, 4 Pb 2.99-3.00, 2 As 3.02
Ir 0.2500 0.2500 0.0000  2 As 2.76, 2 Pb 2.76, 6 Ir 2.99-3.02
Pb 0.0000 0.5000 0.0000  4 Ir 2.76, 4 As 2.99-3.00, 2 Pb 3.02

=====

Compound: ScAg2W
Source: Alexandria
Functional: PBE
Structure: relaxed

## Properties
electronic total energy: -46.23 eV for the cell shown
calculated formation energy: 0.47 eV per atom
crystal system: tetragonal
distance to the lowest polymorph of the same formula: 1.08 eV/f.u.

a = 4.1155 Å, b = 4.1155 Å, c = 8.4668 Å
α = 90.00°, β = 90.00°, γ = 90.00°
Last column: nearest neighbours and their distance in Å.
Space group I4/mmm (No. 139)
Unique sites:
Sc 0.0000 0.0000 0.0000  4 W 2.91, 8 Ag 2.95
Ag 0.0000 0.5000 0.2500  4 Ag 2.91, 4 W 2.95, 4 Sc 2.95
W 0.0000 0.0000 0.5000  4 Sc 2.91, 8 Ag 2.95

=====

Compound: Ni2HgSe
Source: Alexandria
Functional: PBE
Structure: relaxed

## Properties
electronic total energy: -30.01 eV for the cell shown
raw formation energy: 0.34 eV/f.u.
crystal system: monoclinic

a = 7.9333 Å, b = 3.0957 Å, c = 5.8211 Å
α = 90.00°, β = 98.71°, γ = 90.00°
Last column: nearest neighbours and their distance in Å.
Space group Cm (No. 8)
Unique sites:
Ni 0.0000 0.0000 0.0000  3 Se 2.37-2.39, 3 Ni 2.49-2.55
Ni 0.2373 0.5000 0.1868  2 Se 2.40, 3 Ni 2.49-2.55, 1 Hg 2.66
Hg 0.4879 0.0000 0.4448  3 Ni 2.66-2.77
Se 0.2772 0.0000 0.8855  5 Ni 2.37-2.40

=====

Compound: CeNbRu4
Source: Alexandria
Functional: PBE
Structure: relaxed

## Properties
electronic total energy: -213.41 eV for the cell shown
calculated formation energy: -0.04 eV per atom
crystal system: cubic

a = 7.4286 Å, b = 7.4286 Å, c = 7.4286 Å
α = 90.00°, β = 90.00°, γ = 90.00°
Last column: nearest neighbours and their distance in Å.
Space group F-43m (No. 216)
Unique sites:
Ce 0.0000 0.0000 0.0000  12 Ru 3.08, 4 Nb 3.22
Nb 0.2500 0.2500 0.2500  12 Ru 3.08, 4 Ce 3.22
Ru 0.1248 0.1248 0.6248  6 Ru 2.62-2.63

=====

Compound: Rb3Dy2NpSe6
Source: Alexandria
Functional: PBE
Structure: relaxed

## Properties
electronic total energy: -129.30 eV for the cell shown
raw formation energy: -18.70 eV/f.u.
crystal system: monoclinic

a = 7.3996 Å, b = 12.8236 Å, c = 8.3677 Å
α = 90.00°, β = 107.16°, γ = 90.00°
Last column: nearest neighbours and their distance in Å.
Space group C2/m (No. 12)
Unique sites:
Rb 0.0000 0.0000 0.0000  6 Se 3.44-3.48
Rb 0.0000 0.3335 0.0000  6 Se 3.44-3.47
Dy 0.0000 0.1668 0.5000  6 Se 2.91
Np 0.0000 0.5000 0.5000  6 Se 2.95
Se 0.2280 0.0000 0.6958  2 Dy 2.91, 1 Np 2.95
Se 0.2339 0.3313 0.6958  2 Dy 2.91, 1 Np 2.95

=====

Compound: KSi2Sb
Source: Alexandria
Functional: PBE
Structure: relaxed

## Properties
electronic total energy: -29.32 eV for the cell shown
raw formation energy: 1.41 eV/f.u.
crystal system: orthorhombic

a = 3.6376 Å, b = 6.2011 Å, c = 9.8615 Å
α = 90.00°, β = 90.00°, γ = 90.00°
Last column: nearest neighbours and their distance in Å.
Space group Imm2 (No. 44)
Unique sites:
K 0.0000 0.0000 0.0000  4 Sb 3.53-3.71, 8 Si 3.60-3.61, 2 K 3.64
Si 0.0000 0.0000 0.4691  2 Si 2.37
Si 0.0000 0.5000 0.8145  2 Si 2.37
Sb 0.0000 0.5000 0.1716  2 Si 2.70

=====

Compound: La4Pm2Tm3
Source: Alexandria
Functional: PBE
Structure: relaxed

## Properties
electronic total energy: -42.12 eV for the cell shown
calculated formation energy: 0.06 eV per atom
crystal system: trigonal
distance to the lowest polymorph of the same formula: 0.25 eV/f.u.

a = 3.6269 Å, b = 3.6269 Å, c = 27.2886 Å
α = 90.00°, β = 90.00°, γ = 120.00°
Last column: nearest neighbours and their distance in Å.
Space group P3m1 (No. 156)
Unique sites:
La 0.0000 0.0000 0.0000  3 Tm 3.55, 6 La 3.63, 1 Pm 3.64
La 0.0000 0.0000 0.2113  3 Tm 3.58, 9 La 3.63-3.90
La 0.3333 0.6667 0.3318  3 Tm 3.57, 9 La 3.63-3.90
La 0.3333 0.6667 0.5444  3 Tm 3.59, 6 La 3.63, 3 Pm 3.80
Pm 0.0000 0.0000 0.6607  3 Tm 3.52, 6 Pm 3.63, 3 La 3.80
Pm 0.0000 0.0000 0.8666  3 Tm 3.49, 6 Pm 3.63, 1 La 3.64
Tm 0.0000 0.0000 0.4377  6 La 3.57-3.59, 6 Tm 3.63
Tm 0.3333 0.6667 0.1048  6 La 3.55-3.58, 6 Tm 3.63
Tm 0.3333 0.6667 0.7645  6 Pm 3.49-3.52, 6 Tm 3.63

=====

Compound: Nd6Te3P2Pb
Source: Alexandria
Functional: PBE
Structure: relaxed

## Properties
electronic total energy: -137.96 eV for the cell shown
raw formation energy: -16.42 eV/f.u.
crystal system: monoclinic

a = 19.3424 Å, b = 4.3493 Å, c = 8.9454 Å
α = 90.00°, β = 104.58°, γ = 90.00°
Last column: nearest neighbours and their distance in Å.
Space group C2/m (No. 12)
Unique sites:
Nd 0.0120 0.0000 0.2549  1 P 2.94, 2 Pb 3.12, 3 Te 3.14-3.28
Nd 0.1689 0.5000 0.1129  2 P 2.96, 3 Te 3.17-3.30, 1 Pb 3.17
Nd 0.1756 0.5000 0.5649  3 P 2.91-2.96
Te 0.0000 0.5000 0.5000  6 Nd 3.14-3.30
Te 0.1630 0.0000 0.8319  6 Nd 3.17-3.30
P 0.1693 0.0000 0.3374  6 Nd 2.91-2.96
Pb 0.0000 0.5000 0.0000  6 Nd 3.12-3.17

=====

Compound: LaRhPb2
Source: Alexandria
Functional: PBE
Structure: relaxed

## Properties
electronic total energy: -20.88 eV for the cell shown
calculated formation energy: -0.30 eV per atom
crystal system: tetragonal

a = 4.5398 Å, b = 4.5398 Å, c = 4.9438 Å
α = 90.00°, β = 90.00°, γ = 90.00°
Last column: nearest neighbours and their distance in Å.
Space group P4/mmm (No. 123)
Unique sites:
La 0.0000 0.0000 0.0000  4 Rh 3.21, 8 Pb 3.36
Rh 0.5000 0.5000 0.0000  4 La 3.21, 8 Pb 3.36
Pb 0.0000 0.5000 0.5000  4 Pb 3.21, 4 La 3.36, 4 Rh 3.36

=====

Compound: MgIn2B2O6
Source: Alexandria
Functional: PBE
Structure: relaxed

## Properties
electronic total energy: -72.08 eV for the cell shown
raw formation energy: -21.90 eV/f.u.
crystal system: trigonal

a = 4.8974 Å, b = 4.8974 Å, c = 7.1046 Å
α = 90.00°, β = 90.00°, γ = 120.00°
Last column: nearest neighbours and their distance in Å.
Space group P-3 (No. 147)
Unique sites:
Mg 0.0000 0.0000 0.0000  6 O 2.11
In 0.3333 0.6667 0.6732  3 O 2.14
B 0.3333 0.6667 0.1792  3 O 1.38
O 0.0669 0.3708 0.1810  1 B 1.38

=====

Compound: NbVI2N
Source: Alexandria
Functional: PBE
Structure: relaxed

## Properties
electronic total energy: -26.76 eV for the cell shown
raw formation energy: 3.86 eV/f.u.
crystal system: tetragonal
distance to the lowest polymorph of the same formula: 1.20 eV/f.u.

a = 5.7181 Å, b = 5.7181 Å, c = 3.9145 Å
α = 90.00°, β = 90.00°, γ = 90.00°
Last column: nearest neighbours and their distance in Å.
Space group P4/mmm (No. 123)
Unique sites:
Nb 0.0000 0.0000 0.0000  2 N 1.96
V 0.5000 0.5000 0.5000  8 I 3.46
I 0.0000 0.5000 0.0000  2 Nb 2.86
N 0.0000 0.0000 0.5000  2 Nb 1.96

=====

Compound: La4Mn5
Source: Alexandria
Functional: PBE
Structure: relaxed

## Properties
electronic total energy: -124.93 eV for the cell shown
calculated formation energy: 0.34 eV per atom
crystal system: tetragonal
distance to the lowest polymorph of the same formula: 0.00 eV/f.u.

a = 9.9898 Å, b = 9.9898 Å, c = 4.3571 Å
α = 90.00°, β = 90.00°, γ = 90.00°
Last column: nearest neighbours and their distance in Å.
Space group I4/mmm (No. 139)
Unique sites:
La 0.0000 0.2910 0.0000  5 Mn 2.91-3.00
Mn 0.0000 0.0000 0.0000  8 Mn 2.84, 4 La 2.91
Mn 0.1285 0.1285 0.5000  4 Mn 2.57-2.84

=====

Compound: LiZr2Au
Source: Alexandria
Functional: PBE
Structure: relaxed

## Properties
electronic total energy: -87.62 eV for the cell shown
calculated formation energy: 0.10 eV per atom
crystal system: tetragonal

a = 7.7714 Å, b = 7.7714 Å, c = 5.5087 Å
α = 90.00°, β = 90.00°, γ = 90.00°
Last column: nearest neighbours and their distance in Å.
Space group I-42d (No. 122)
Unique sites:
Li 0.0000 0.0000 0.0000  2 Au 2.75, 4 Zr 2.89
Zr 0.2392 0.7500 0.6250  2 Zr 2.76, 2 Au 2.78, 2 Li 2.89
Au 0.0000 0.0000 0.5000  2 Li 2.75, 4 Zr 2.78

=====

Compound: KDyCu2I6
Source: Alexandria
Functional: PBE
Structure: relaxed

## Properties
electronic total energy: -31.87 eV for the cell shown
raw formation energy: -8.68 eV/f.u.
crystal system: triclinic

a = 7.7756 Å, b = 7.7765 Å, c = 9.2462 Å
α = 89.97°, β = 65.14°, γ = 60.02°
Last column: nearest neighbours and their distance in Å.
Space group P-1 (No. 2)
Unique sites:
K 0.0000 0.0000 0.0000  6 I 3.58
Dy 0.0000 0.5000 0.5000  6 I 3.05
Cu 0.4721 0.7642 0.2931  3 I 2.54
I 0.1730 0.7288 0.2760  1 Cu 2.54
I 0.1775 0.5513 0.7236  1 Cu 2.54
I 0.4526 0.0987 0.2765  1 Cu 2.54